MnBiIO2 | the Alexandria database | GGA+U | optimized geometry; density = 7.205 g cm⁻³; symmetry = No. 123; DOS(E_F) = 2.87 states/eV per cell; VASP energy = -23.57 eV for the cell shown
1.0
4.261 0.000 0.000
0.000 4.261 0.000
0.000 0.000 5.366
O I Bi Mn
2 1 1 1
Direct
0.000 0.500 0.000
0.500 0.000 0.000
0.000 0.000 0.500
0.500 0.500 0.500
0.000 0.000 0.000